PBE ZrSnI6, optimized geometry; E_form (uncorrected) = -703 meV per atom; polymorph energy (0 for the lowest one) = 17 meV/atom; SG = R-3, No. 148; size of the total moment = 0.0 μB per cell
1.0
-7.558 -0.195 -0.398
-3.441 -5.399 -4.039
-3.852 -5.865 4.030
I Sn Zr
6 1 1
direct
0.933 0.600 0.240 I
0.773 0.067 0.760 I
0.400 0.773 0.760 I
0.227 0.933 0.240 I
0.067 0.400 0.760 I
0.600 0.227 0.240 I
0.500 0.500 0.500 Sn
0.000 0.000 0.000 Zr